1.
First-principles (PBE) data for a relaxed ScBeReMo crystal, as listed in OQMD via LeMat-Bulk.

The calculation puts the total moment at 0.0 μB per formula unit. The volume comes out at 237 Å³ per cell. Its total energy is -33.540 eV per formula unit. Its polymorph energy (0 for the lowest one) is 0 meV per atom.

Cell lengths 6.1868, 6.1868, 6.1868 Å; angles 90.00, 90.00, 90.00 degrees
Space group F-43m (No. 216)
Unique sites:
Sc1 0.0000 0.0000 0.0000
Be1 0.2500 0.2500 0.2500
Re1 0.0000 0.0000 0.5000
Mo1 0.2500 0.2500 0.7500


2.
First-principles (PBE) data for a relaxed ScBeReMo crystal, as listed in OQMD via LeMat-Bulk.

The calculation puts the total moment at 0.0 μB per formula unit. The volume comes out at 241 Å³ per cell. Its total energy is -33.477 eV per formula unit. Its polymorph energy (0 for the lowest one) is 16 meV per atom.

Cell lengths 6.2218, 6.2218, 6.2218 Å; angles 90.00, 90.00, 90.00 degrees
Space group F-43m (No. 216)
Unique sites:
Sc1 0.0000 0.0000 0.0000
Be1 0.2500 0.2500 0.2500
Re1 0.2500 0.2500 0.7500
Mo1 0.0000 0.0000 0.5000


3.
First-principles (PBE) data for a relaxed YBeReMo crystal, as listed in OQMD via LeMat-Bulk.

The calculation puts the total moment at 0.8 μB per formula unit. The volume comes out at 259 Å³ per cell. Its total energy is -30.219 eV per formula unit. Its polymorph energy (0 for the lowest one) is 558 meV per atom.

Cell lengths 6.3717, 6.3717, 6.3717 Å; angles 90.00, 90.00, 90.00 degrees
Space group F-43m (No. 216)
Unique sites:
Y1 0.0000 0.0000 0.0000
Be1 0.0000 0.0000 0.5000
Re1 0.2500 0.2500 0.7500
Mo1 0.2500 0.2500 0.2500


4.
First-principles (PBE) data for a relaxed YBeReMo crystal, as listed in OQMD via LeMat-Bulk.

The calculation puts the total moment at 0.0 μB per formula unit. The volume comes out at 266 Å³ per cell. Its total energy is -32.329 eV per formula unit. Its polymorph energy (0 for the lowest one) is 30 meV per atom.

Cell lengths 6.4317, 6.4317, 6.4317 Å; angles 90.00, 90.00, 90.00 degrees
Space group F-43m (No. 216)
Unique sites:
Y1 0.0000 0.0000 0.0000
Be1 0.2500 0.2500 0.2500
Re1 0.2500 0.2500 0.7500
Mo1 0.0000 0.0000 0.5000